Entry 1:
K7AuO2 | PBE-GGA | relaxed

Lattice parameters (Å, degrees): 5.313 8.284 8.284 114.67 90.00 90.00
Atoms (fractional coordinates):
K 0.500 0.959 0.672
K 0.000 0.699 0.301
K 0.500 0.672 0.959
O 0.500 0.700 0.300
K 0.000 0.301 0.699
K 0.500 0.328 0.041
K 0.500 0.500 0.500
Au 0.000 0.000 0.000
O 0.500 0.300 0.700
K 0.500 0.041 0.328

Uncorrected formation energy in eV per atom: -0.605
Space group: No. 65

=====

Entry 2:
CaCO3 | PBE-GGA | relaxed

Lattice parameters (Å, degrees): 6.395 7.781 12.727 94.13 98.85 106.17
Atoms (fractional coordinates):
C 0.942 0.261 0.995
O 0.447 0.879 0.710
O 0.908 0.172 0.707
O 0.341 0.458 0.703
O 0.960 0.549 0.605
O 0.908 0.815 0.023
O 0.306 0.410 0.212
C 0.873 0.683 0.600
C 0.785 0.162 0.613
O 0.553 0.121 0.290
O 0.040 0.451 0.395
C 0.215 0.838 0.387
C 0.449 0.967 0.799
O 0.960 0.829 0.663
C 0.058 0.739 0.005
O 0.849 0.339 0.924
Ca 0.016 0.476 0.788
Ca 0.228 0.117 0.619
O 0.092 0.185 0.977
C 0.127 0.317 0.400
Ca 0.513 0.750 0.021
O 0.421 0.045 0.113
O 0.128 0.751 0.913
O 0.040 0.171 0.337
C 0.551 0.033 0.201
C 0.490 0.517 0.790
O 0.151 0.661 0.076
O 0.671 0.922 0.194
Ca 0.487 0.250 0.979
O 0.694 0.590 0.788
O 0.092 0.828 0.293
O 0.418 0.501 0.882
Ca 0.092 0.070 0.172
Ca 0.908 0.930 0.828
Ca 0.984 0.524 0.212
O 0.579 0.955 0.887
O 0.582 0.499 0.118
Ca 0.772 0.883 0.381
O 0.141 0.878 0.472
Ca 0.333 0.645 0.559
O 0.301 0.338 0.474
O 0.872 0.249 0.087
O 0.329 0.078 0.806
O 0.397 0.796 0.397
Ca 0.667 0.355 0.441
O 0.699 0.662 0.526
O 0.859 0.122 0.528
C 0.510 0.483 0.210
O 0.659 0.542 0.297
O 0.603 0.204 0.603

Uncorrected formation energy in eV per atom: -2.245
Space group: No. 2

=====

Entry 3:
YOs3Pd | PBE-GGA | relaxed

Lattice parameters (Å, degrees): 4.757 4.757 4.757 90.00 90.00 90.00
Last column: magnetic moment on the atom in μB.
Atoms (fractional coordinates):
Os 0.500 0.000 0.000  0.52
Os 0.000 0.500 0.000  0.84
Y 0.500 0.500 0.500  -0.01
Pd 0.000 0.000 0.000  0.57
Os 0.000 0.000 0.500  1.17

E_form in eV/atom: 1.83
Space group: No. 221